(1)
A plane-wave DFT calculation with PBE was carried out for crystalline AgHg3As2Cl3 at its relaxed geometry.

E_tot ... -2.43 eV per atom
Formation energy (no corrections) ... -3.2 eV/f.u.

CIF file:
```
data_AgHg3As2Cl3
_chemical_formula_sum 'Ag12 Hg36 As24 Cl36'
_cell_length_a 25.1052
_cell_length_b 9.3683
_cell_length_c 15.1618
_cell_angle_alpha 90.00
_cell_angle_beta 123.81
_cell_angle_gamma 90.00
_symmetry_space_group_name_H-M 'C 1 2/c 1'
_symmetry_Int_Tables_number 15
_symmetry_space_group_name_Hall '-C 2yc'
loop_
_atom_site_label
_atom_site_fract_x
_atom_site_fract_y
_atom_site_fract_z
_atom_site_occupancy
Ag1 0.0000 0.1544 0.2500 1
Ag2 0.1693 0.2750 0.7778 1
Hg1 0.0000 0.0000 0.0000 1
Hg2 0.0000 0.2991 0.7500 1
Hg3 0.0000 0.5000 0.0000 1
Hg4 0.1644 0.0019 0.4979 1
Hg5 0.1683 0.5001 0.9998 1
Hg6 0.1694 0.2145 0.2492 1
As1 0.0666 0.3636 0.9484 1
As2 0.1005 0.1436 0.0520 1
As3 0.2309 0.1424 0.4463 1
Cl1 0.0615 0.2403 0.4374 1
Cl2 0.0763 0.0760 0.7485 1
Cl3 0.1149 0.4904 0.2517 1
Cl4 0.2347 0.1152 0.7412 1
Cl5 0.2500 0.2500 0.0000 1
```

---

(2)
A plane-wave DFT calculation with PBE was carried out for crystalline FeAsRh2 at its relaxed geometry.

Formation energy from the elements ... -90 meV/atom
E_tot ... -7.04 eV per atom
DOS(E_F) ... 3.96 states/eV/f.u.

CIF file:
```
data_FeAsRh2
_chemical_formula_sum 'Fe1 As1 Rh2'
_cell_length_a 2.8402
_cell_length_b 3.8705
_cell_length_c 5.3390
_cell_angle_alpha 90.00
_cell_angle_beta 102.78
_cell_angle_gamma 90.00
_symmetry_space_group_name_H-M 'P 1 2/m 1'
_symmetry_Int_Tables_number 10
_symmetry_space_group_name_Hall '-P 2y'
loop_
_atom_site_label
_atom_site_fract_x
_atom_site_fract_y
_atom_site_fract_z
_atom_site_occupancy
Fe1 0.0000 0.0000 0.0000 1
As1 0.0000 0.0000 0.5000 1
Rh1 0.3844 0.5000 0.7464 1
```

---

(3)
A plane-wave DFT calculation with PBE was carried out for crystalline Na2PmB2O6 at its relaxed geometry.

E_tot ... -6.93 eV per atom
DOS(E_F) ... 4.92 states/eV/f.u.
Formation energy (no corrections) ... -25.8 eV/f.u.

CIF file:
```
data_Na2PmB2O6
_chemical_formula_sum 'Na2 Pm1 B2 O6'
_cell_length_a 5.3841
_cell_length_b 5.3841
_cell_length_c 6.2950
_cell_angle_alpha 90.00
_cell_angle_beta 90.00
_cell_angle_gamma 120.00
_symmetry_space_group_name_H-M 'P -3'
_symmetry_Int_Tables_number 147
_symmetry_space_group_name_Hall '-P 3'
loop_
_atom_site_label
_atom_site_fract_x
_atom_site_fract_y
_atom_site_fract_z
_atom_site_occupancy
Na1 0.3333 0.6667 0.3513 1
Pm1 0.0000 0.0000 0.0000 1
B1 0.3333 0.6667 0.7867 1
O1 0.0975 0.3947 0.7803 1
```

---

(4)
A plane-wave DFT calculation with PBE was carried out for crystalline Zn2Cr2Si at its relaxed geometry.

E_tot ... -5.04 eV per atom
DOS(E_F) ... 4.91 states/eV/f.u.
Formation energy (no corrections) ... 2.0 eV/f.u.

CIF file:
```
data_Zn2Cr2Si
_chemical_formula_sum 'Zn4 Cr4 Si2'
_cell_length_a 3.3215
_cell_length_b 3.3215
_cell_length_c 12.9864
_cell_angle_alpha 90.00
_cell_angle_beta 90.00
_cell_angle_gamma 90.00
_symmetry_space_group_name_H-M 'I 4/m m m'
_symmetry_Int_Tables_number 139
_symmetry_space_group_name_Hall '-I 4 2'
loop_
_atom_site_label
_atom_site_fract_x
_atom_site_fract_y
_atom_site_fract_z
_atom_site_occupancy
Zn1 0.0000 0.5000 0.2500 1
Cr1 0.0000 0.0000 0.0797 1
Si1 0.0000 0.0000 0.5000 1
```

---

(5)
A plane-wave DFT calculation with PBE was carried out for crystalline HgSbPI2 at its relaxed geometry.

E_tot ... -2.23 eV per atom
DOS(E_F) ... 3.28 states/eV/f.u.
Formation energy (no corrections) ... 1.8 eV/f.u.

CIF file:
```
data_HgSbPI2
_chemical_formula_sum 'Hg1 Sb1 P1 I2'
_cell_length_a 5.5339
_cell_length_b 5.5339
_cell_length_c 5.4369
_cell_angle_alpha 90.00
_cell_angle_beta 90.00
_cell_angle_gamma 90.00
_symmetry_space_group_name_H-M 'P 4/m m m'
_symmetry_Int_Tables_number 123
_symmetry_space_group_name_Hall '-P 4 2'
loop_
_atom_site_label
_atom_site_fract_x
_atom_site_fract_y
_atom_site_fract_z
_atom_site_occupancy
Hg1 0.0000 0.0000 0.0000 1
Sb1 0.5000 0.5000 0.0000 1
P1 0.5000 0.5000 0.5000 1
I1 0.0000 0.5000 0.5000 1
```

---

(6)
A plane-wave DFT calculation with PBE was carried out for crystalline RbBa2PuCl8 at its relaxed geometry.

E_tot ... -5.05 eV per atom
DOS(E_F) ... 9.69 states/eV/f.u.
Formation energy (no corrections) ... -26.6 eV/f.u.

CIF file:
```
data_RbBa2PuCl8
_chemical_formula_sum 'Rb1 Ba2 Pu1 Cl8'
_cell_length_a 5.1870
_cell_length_b 10.2373
_cell_length_c 7.3246
_cell_angle_alpha 90.00
_cell_angle_beta 90.15
_cell_angle_gamma 90.00
_symmetry_space_group_name_H-M 'P 1 2/m 1'
_symmetry_Int_Tables_number 10
_symmetry_space_group_name_Hall '-P 2y'
loop_
_atom_site_label
_atom_site_fract_x
_atom_site_fract_y
_atom_site_fract_z
_atom_site_occupancy
Rb1 0.0000 0.0000 0.0000 1
Ba1 0.5000 0.2475 0.5000 1
Pu1 0.0000 0.5000 0.0000 1
Cl1 0.0008 0.2881 0.7565 1
Cl2 0.4993 0.0000 0.7369 1
Cl3 0.4988 0.5000 0.2176 1
```

---

(7)
A plane-wave DFT calculation with PBE was carried out for crystalline Cu2AuBr at its relaxed geometry.

E_tot ... -2.97 eV per atom
DOS(E_F) ... 1.98 states/eV/f.u.
Formation energy (no corrections) ... 1.3 eV/f.u.

CIF file:
```
data_Cu2AuBr
_chemical_formula_sum 'Cu4 Au2 Br2'
_cell_length_a 3.5855
_cell_length_b 3.5855
_cell_length_c 12.8617
_cell_angle_alpha 90.00
_cell_angle_beta 90.00
_cell_angle_gamma 90.00
_symmetry_space_group_name_H-M 'I -4 m 2'
_symmetry_Int_Tables_number 119
_symmetry_space_group_name_Hall 'I -4 -2'
loop_
_atom_site_label
_atom_site_fract_x
_atom_site_fract_y
_atom_site_fract_z
_atom_site_occupancy
Cu1 0.0000 0.0000 0.0000 1
Cu2 0.0000 0.5000 0.2500 1
Au1 0.0000 0.5000 0.7500 1
Br1 0.0000 0.0000 0.5000 1
```

---

(8)
A plane-wave DFT calculation with PBE was carried out for crystalline KYZr at its relaxed geometry.

Formation energy from the elements ... 909 meV/atom
E_tot ... -4.46 eV per atom
DOS(E_F) ... 4.22 states/eV/f.u.

CIF file:
```
data_KYZr
_chemical_formula_sum 'K2 Y2 Zr2'
_cell_length_a 6.0426
_cell_length_b 6.0426
_cell_length_c 6.4356
_cell_angle_alpha 90.00
_cell_angle_beta 90.00
_cell_angle_gamma 120.00
_symmetry_space_group_name_H-M 'P 63/m m c'
_symmetry_Int_Tables_number 194
_symmetry_space_group_name_Hall '-P 6c 2c'
loop_
_atom_site_label
_atom_site_fract_x
_atom_site_fract_y
_atom_site_fract_z
_atom_site_occupancy
K1 0.0000 0.0000 0.0000 1
Y1 0.3333 0.6667 0.2500 1
Zr1 0.3333 0.6667 0.7500 1
```

---

Number 5 is which compound?
HgSbPI2